#w
Material: K2LaHf2
Method: DFT, PBE
State: optimized geometry

a = 4.5876 Å, b = 4.5876 Å, c = 9.2528 Å
α = 75.65°, β = 75.65°, γ = 90.00°
Sites, in units of the cell vectors:
K: 0.7500 0.2500 0.5000
K: 0.2500 0.7500 0.5000
Hf: 0.4249 0.4249 0.1502
Hf: 0.5751 0.5751 0.8498
La: 0.0000 0.0000 0.0000

## Properties
The magnetic moment is 0.0 μB/f.u.

#x
Material: K2LaHf2
Method: DFT, PBE
State: optimized geometry

a = 10.7297 Å, b = 10.7297 Å, c = 3.1586 Å
α = 90.00°, β = 90.00°, γ = 90.00°
Last column: magnetic moment on the atom in μB.
Sites, in units of the cell vectors:
K: 0.2005 0.7005 0.5000  0.00
K: 0.7005 0.7995 0.5000  0.00
K: 0.7995 0.2995 0.5000  0.00
K: 0.2995 0.2005 0.5000  0.00
Hf: 0.4105 0.9105 0.0000  0.16
Hf: 0.9105 0.5895 0.0000  0.15
Hf: 0.5895 0.0895 0.0000  0.16
Hf: 0.0895 0.4105 0.0000  0.15
La: 0.0000 0.0000 0.0000  0.01
La: 0.5000 0.5000 0.0000  0.01

## Properties
The magnetic moment is 0.4 μB/f.u.

Least stable of them? #x.